1.
The following is a DFT calculation (PBE) of a geometry-optimized Tb2ZnIn structure.

As for the magnetization: 0.00 μB per atom. The calculation puts the calculated formation energy at -0.420 eV per atom. The value obtained for the electronic total energy is -3.738 eV per atom. The density of states at the Fermi level is 3.356 states/eV per cell.

abc: 3.6544 3.6544 7.4708
angles: 90.00 90.00 90.00
Last column: nearest neighbours and their distance in Å.
Space group P4/mmm (No. 123)
One atom of each set of equivalent atoms:
Tb: 0.0000 0.0000 0.2303 [2 per cell]  4 Zn 3.10, 4 In 3.28, 1 Tb 3.44
Zn: 0.5000 0.5000 0.0000 [1 per cell]  8 Tb 3.10
In: 0.5000 0.5000 0.5000 [1 per cell]  8 Tb 3.28, 4 In 3.65

=====

2.
The following is a DFT calculation (PBE) of a geometry-optimized Tb4ZnIn3 structure.

As for the magnetization: 0.07 μB per atom. The calculation puts the calculated formation energy at -0.392 eV per atom. The value obtained for the electronic total energy is -3.893 eV per atom. The value obtained for the energy above the most stable polymorph in this dataset is 0.060 eV per atom. The density of states at the Fermi level is 6.841 states/eV per cell.

abc: 3.8068 4.7166 11.9821
angles: 90.00 90.00 90.00
Last column: nearest neighbours and their distance in Å.
Space group Pmm2 (No. 25)
One atom of each set of equivalent atoms:
Tb: 0.0000 0.0000 0.0000 [1 per cell]  5 In 3.17-3.28, 2 Zn 3.30
Tb: 0.0000 0.5000 0.2994 [1 per cell]  4 Zn 3.16, 3 In 3.24-3.27
Tb: 0.5000 0.0000 0.4827 [1 per cell]  1 Zn 3.09, 4 In 3.21
Tb: 0.5000 0.5000 0.8072 [1 per cell]  7 In 3.18-3.42
Zn: 0.5000 0.0000 0.2250 [1 per cell]  2 In 2.95, 5 Tb 3.09-3.16
In: 0.0000 0.0000 0.7261 [1 per cell]  2 In 3.01, 5 Tb 3.18-3.28
In: 0.0000 0.5000 0.5701 [1 per cell]  2 In 3.01, 5 Tb 3.21-3.24
In: 0.5000 0.5000 0.0777 [1 per cell]  2 Zn 2.95, 7 Tb 3.17-3.27